PBE BeRhF, relaxed; uncorrected formation energy = -1.45 eV per atom; SG = P1, No. 1; mass density = 6.46 g/cm³
1.0
2.657 0.000 0.000
1.328 2.301 0.000
1.289 0.735 11.019
Be Rh F
2 2 2
direct
0.000 0.000 0.000
0.483 0.490 0.561
0.276 0.280 0.173
0.873 0.879 0.387
0.124 0.130 0.641
0.693 0.694 0.920

***

PBE La6ZnI3Cl2, relaxed; uncorrected formation energy = -1.09 eV per atom; SG = C2/m, No. 12; mass density = 6.06 g/cm³
1.0
3.586 -6.240 0.000
3.586 6.240 0.000
-2.409 0.000 8.268
La Zn I Cl
6 1 3 2
direct
0.091 0.431 0.794
0.225 0.225 0.202
0.431 0.091 0.794
0.569 0.909 0.206
0.775 0.775 0.798
0.909 0.569 0.206
0.500 0.500 0.000
0.000 0.000 0.500
0.339 0.661 0.500
0.661 0.339 0.500
0.168 0.832 0.000
0.832 0.168 0.000

***

Question: Which value of mass density does entry 2 give?
Answer: 6.06 g/cm³